No. 1
Compound: Pm3CoRh2
Source: Alexandria via LeMat-Bulk
Functional: PBE
Structure: relaxed

The structure belongs to space group Pnma (No. 62); the cell edges are 11.445, 4.090 and 11.670 Å and the angles 90.00°, 90.00° and 90.00°. The distinct sites, in fractional coordinates, are Pm at (0.055, 0.250, 0.123), Pm at (0.121, 0.750, 0.556), Pm at (0.209, 0.250, 0.802), Co at (0.126, 0.250, 0.366), Rh at (0.022, 0.750, 0.311) and Rh at (0.187, 0.750, 0.990).

The calculation puts the density at 8.5 g cm⁻³. Its volume is 136.5 Å³/f.u. Its calculated formation energy is -0.4821 eV/atom. The value obtained for the total energy is -6.492 eV/atom. The value obtained for the total magnetization is 0.035 μB/atom.

No. 2
Compound: Pm3CoRh
Source: Alexandria via LeMat-Bulk
Functional: PBE
Structure: relaxed

The structure belongs to space group C2/m (No. 12); the cell edges are 20.486, 3.777 and 6.647 Å and the angles 90.00°, 97.94° and 90.00°. The distinct sites, in fractional coordinates, are Pm at (0.011, 0.000, 0.247), Pm at (0.140, 0.500, 0.623), Pm at (0.184, 0.000, 0.132), Co at (0.238, 0.000, 0.589) and Rh at (0.077, 0.500, 0.000).

The calculation puts the density at 7.8 g cm⁻³. Its volume is 127.3 Å³/f.u. Its calculated formation energy is -0.3175 eV/atom. The value obtained for the total energy is -6.059 eV/atom. The value obtained for the total magnetization is 0.071 μB/atom.

No. 3
Compound: Pm8Co2Rh
Source: Alexandria via LeMat-Bulk
Functional: PBE
Structure: relaxed

The structure belongs to space group C2/m (No. 12); the cell edges are 17.514, 5.124 and 6.684 Å and the angles 90.00°, 101.14° and 90.00°. The distinct sites, in fractional coordinates, are Pm at (0.045, 0.000, 0.285), Pm at (0.088, 0.500, 0.932), Pm at (0.172, 0.500, 0.468), Pm at (0.200, 0.000, 0.840), Co at (0.205, 0.000, 0.235) and Rh at (0.000, 0.500, 0.500).

The calculation puts the density at 7.8 g cm⁻³. Its volume is 294.2 Å³/f.u. Its calculated formation energy is -0.1454 eV/atom. The value obtained for the total energy is -5.561 eV/atom. The value obtained for the total magnetization is 0.000 μB/atom.

No. 4
Compound: Pm2CoRh
Source: Alexandria via LeMat-Bulk
Functional: PBE
Structure: relaxed

The structure belongs to space group P4/mmm (No. 123); the cell edges are 3.486, 3.486 and 6.974 Å and the angles 90.00°, 90.00° and 90.00°. The distinct sites, in fractional coordinates, are Pm at (0.000, 0.000, 0.246), Co at (0.500, 0.500, 0.000) and Rh at (0.500, 0.500, 0.500).

The calculation puts the density at 8.9 g cm⁻³. Its volume is 84.8 Å³/f.u. Its calculated formation energy is -0.3295 eV/atom. The value obtained for the total energy is -6.319 eV/atom. The value obtained for the total magnetization is 0.137 μB/atom.

No. 5
Compound: PmCoRh4
Source: Alexandria via LeMat-Bulk
Functional: PBE
Structure: relaxed

The structure belongs to space group F-43m (No. 216); the cell edges are 7.406, 7.406 and 7.406 Å and the angles 90.00°, 90.00° and 90.00°. The distinct sites, in fractional coordinates, are Pm at (0.000, 0.000, 0.000), Co at (0.250, 0.250, 0.250) and Rh at (0.124, 0.124, 0.624).

The calculation puts the density at 10.1 g cm⁻³. Its volume is 101.5 Å³/f.u. Its calculated formation energy is -0.0824 eV/atom. The value obtained for the total energy is -6.959 eV/atom. The value obtained for the total magnetization is 0.471 μB/atom.

No. 6
Compound: PmCoSbRh
Source: Alexandria via LeMat-Bulk
Functional: PBE
Structure: relaxed

The structure belongs to space group F-43m (No. 216); the cell edges are 6.688, 6.688 and 6.688 Å and the angles 90.00°, 90.00° and 90.00°. The distinct sites, in fractional coordinates, are Pm at (0.000, 0.000, 0.000), Co at (0.250, 0.250, 0.750), Sb at (0.000, 0.000, 0.500) and Rh at (0.250, 0.250, 0.250).

Its formation energy (no corrections) is -0.400 eV/atom. The calculation puts the density at 9.5 g cm⁻³. Its volume is 74.8 Å³/f.u. The value obtained for the total energy is -6.232 eV/atom. The value obtained for the total magnetization is 0.489 μB/atom.

No. 7
Compound: PmScCoRh
Source: Alexandria via LeMat-Bulk
Functional: PBE
Structure: relaxed

The structure belongs to space group F-43m (No. 216); the cell edges are 6.683, 6.683 and 6.683 Å and the angles 90.00°, 90.00° and 90.00°. The distinct sites, in fractional coordinates, are Pm at (0.000, 0.000, 0.000), Sc at (0.000, 0.000, 0.500), Co at (0.250, 0.250, 0.250) and Rh at (0.250, 0.250, 0.750).

The calculation puts the density at 7.8 g cm⁻³. Its volume is 74.6 Å³/f.u. Its calculated formation energy is -0.4305 eV/atom. The value obtained for the total energy is -6.815 eV/atom. The value obtained for the total magnetization is 0.141 μB/atom.

No. 8
Compound: Pm2CoSi4Rh3
Source: Alexandria via LeMat-Bulk
Functional: PBE
Structure: relaxed

The structure belongs to space group P-4m2 (No. 115); the cell edges are 4.129, 4.129 and 9.837 Å and the angles 90.00°, 90.00° and 90.00°. The distinct sites, in fractional coordinates, are Pm at (0.000, 0.500, 0.248), Co at (0.000, 0.000, 0.500), Si at (0.000, 0.000, 0.000), Si at (0.000, 0.500, 0.624), Si at (0.500, 0.500, 0.000), Rh at (0.000, 0.500, 0.872) and Rh at (0.500, 0.500, 0.500).

Its formation energy (no corrections) is -0.942 eV/atom. The calculation puts the density at 7.6 g cm⁻³. Its volume is 167.7 Å³/f.u. The value obtained for the total energy is -6.977 eV/atom. The value obtained for the total magnetization is 0.000 μB/atom.

No. 9
Compound: PmCoSi2Rh
Source: Alexandria via LeMat-Bulk
Functional: PBE
Structure: relaxed

The structure belongs to space group I-4m2 (No. 119); the cell edges are 4.013, 4.013 and 10.072 Å and the angles 90.00°, 90.00° and 90.00°. The distinct sites, in fractional coordinates, are Pm at (0.000, 0.000, 0.000), Co at (0.000, 0.500, 0.250), Si at (0.000, 0.000, 0.373) and Rh at (0.000, 0.500, 0.750).

Its formation energy (no corrections) is -0.925 eV/atom. The calculation puts the density at 7.4 g cm⁻³. Its volume is 81.1 Å³/f.u. The value obtained for the total energy is -6.936 eV/atom. The value obtained for the total magnetization is 0.000 μB/atom.

No. 10
Compound: PmSmCoRh
Source: Alexandria via LeMat-Bulk
Functional: PBE
Structure: relaxed

The structure belongs to space group F-43m (No. 216); the cell edges are 6.954, 6.954 and 6.954 Å and the angles 90.00°, 90.00° and 90.00°. The distinct sites, in fractional coordinates, are Pm at (0.000, 0.000, 0.000), Sm at (0.000, 0.000, 0.500), Co at (0.250, 0.250, 0.750) and Rh at (0.250, 0.250, 0.250).

The calculation puts the density at 9.0 g cm⁻³. Its volume is 84.1 Å³/f.u. Its calculated formation energy is -0.3438 eV/atom. The value obtained for the total energy is -6.326 eV/atom. The value obtained for the total magnetization is 0.156 μB/atom.

No. 11
Compound: TbPmCoRh
Source: Alexandria via LeMat-Bulk
Functional: PBE
Structure: relaxed

The structure belongs to space group F-43m (No. 216); the cell edges are 6.893, 6.893 and 6.893 Å and the angles 90.00°, 90.00° and 90.00°. The distinct sites, in fractional coordinates, are Tb at (0.000, 0.000, 0.000), Pm at (0.000, 0.000, 0.500), Co at (0.250, 0.250, 0.750) and Rh at (0.250, 0.250, 0.250).

The calculation puts the density at 9.4 g cm⁻³. Its volume is 81.9 Å³/f.u. Its calculated formation energy is -0.3943 eV/atom. The value obtained for the total energy is -6.354 eV/atom. The value obtained for the total magnetization is 0.156 μB/atom.

No. 12
Compound: PmThCoRh
Source: Alexandria via LeMat-Bulk
Functional: PBE
Structure: relaxed

The structure belongs to space group F-43m (No. 216); the cell edges are 6.997, 6.997 and 6.997 Å and the angles 90.00°, 90.00° and 90.00°. The distinct sites, in fractional coordinates, are Pm at (0.000, 0.000, 0.000), Th at (0.000, 0.000, 0.500), Co at (0.250, 0.250, 0.250) and Rh at (0.250, 0.250, 0.750).

The calculation puts the density at 10.4 g cm⁻³. Its volume is 85.6 Å³/f.u. Its calculated formation energy is -0.3723 eV/atom. The value obtained for the total energy is -7.029 eV/atom. The value obtained for the total magnetization is 0.001 μB/atom.